The following is a PBE calculation of a relaxed PuAl3Pt2 crystal, from Alexandria via LeMat-Bulk.

abc: 4.195 8.515 10.078
angles: 107.96 90.00 104.26
Fractional coordinates of all 18 atoms:
Pu  0.840  0.680  0.294
Pu  0.160  0.320  0.706
Pu  0.000  0.000  0.000
Al  0.324  0.648  0.035
Al  0.676  0.352  0.965
Al  0.628  0.256  0.201
Al  0.500  0.000  0.500
Al  0.213  0.426  0.392
Al  0.960  0.920  0.642
Al  0.040  0.080  0.358
Al  0.372  0.744  0.799
Al  0.787  0.574  0.608
Pt  0.473  0.946  0.218
Pt  0.639  0.278  0.452
Pt  0.527  0.054  0.782
Pt  0.195  0.389  0.127
Pt  0.361  0.722  0.548
Pt  0.805  0.611  0.873

## Properties
The density of states at the Fermi level comes out at 41.28 states/eV/cell. The calculation puts the formation energy at -5.17 eV/f.u. Its space group is C2/m.

The following is a PBE calculation of a relaxed Pu3Al2Pt6 crystal, from Alexandria via LeMat-Bulk.

abc: 8.236 8.236 8.236
angles: 109.47 109.47 109.47
Fractional coordinates of all 22 atoms:
Pu  0.000  0.714  0.714
Pu  0.714  0.000  0.714
Pu  0.000  0.286  0.286
Pu  0.714  0.714  0.000
Pu  0.286  0.000  0.286
Pu  0.286  0.286  0.000
Pt  0.000  0.324  0.676
Pt  0.324  0.648  0.324
Pt  0.324  0.324  0.648
Pt  0.324  0.676  0.000
Pt  0.676  0.324  0.000
Pt  0.324  0.000  0.676
Pt  0.676  0.352  0.676
Pt  0.000  0.676  0.324
Pt  0.676  0.676  0.352
Pt  0.648  0.324  0.324
Pt  0.676  0.000  0.324
Pt  0.352  0.676  0.676
Al  0.000  0.500  0.000
Al  0.500  0.000  0.000
Al  0.500  0.500  0.500
Al  0.000  0.000  0.500

## Properties
The density of states at the Fermi level comes out at 69.10 states/eV/cell. The calculation puts the formation energy at -9.29 eV/f.u. Its space group is Im-3m.

The following is a PBE calculation of a relaxed Pu2Al9Pt3 crystal, from Alexandria via LeMat-Bulk.

abc: 7.638 7.638 10.500
angles: 89.96 111.30 120.12
Fractional coordinates of all 28 atoms:
Pu  0.334  0.248  0.750
Pu  0.666  0.752  0.250
Pu  0.002  0.416  0.250
Pu  0.998  0.584  0.750
Al  0.877  0.127  0.750
Al  0.115  0.141  0.425
Al  0.216  0.690  0.075
Al  0.885  0.859  0.575
Al  0.784  0.477  0.424
Al  0.543  0.190  0.564
Al  0.784  0.310  0.925
Al  0.457  0.810  0.436
Al  0.123  0.873  0.250
Al  0.542  0.081  0.252
Al  0.447  0.640  0.924
Al  0.670  0.710  0.752
Al  0.127  0.980  0.936
Al  0.458  0.919  0.748
Al  0.873  0.020  0.064
Al  0.216  0.523  0.576
Al  0.553  0.360  0.076
Al  0.330  0.290  0.248
Pt  0.830  0.662  0.000
Pt  0.162  0.830  0.500
Pt  0.500  0.000  0.000
Pt  0.170  0.338  0.000
Pt  0.838  0.170  0.500
Pt  0.500  0.500  0.500

## Properties
The density of states at the Fermi level comes out at 52.60 states/eV/cell. The calculation puts the formation energy at -10.71 eV/f.u. Its space group is C2/c.

The following is a PBE calculation of a relaxed Pu2Al3Pt4 crystal, from Alexandria via LeMat-Bulk.

abc: 5.675 7.454 8.264
angles: 90.00 110.08 90.00
Fractional coordinates of all 18 atoms:
Pt  0.680  0.525  0.360
Pt  0.315  0.250  0.129
Pt  0.815  0.250  0.129
Pt  0.180  0.975  0.360
Pt  0.185  0.750  0.871
Pt  0.685  0.750  0.871
Pt  0.320  0.475  0.640
Pt  0.820  0.025  0.640
Al  0.981  0.250  0.463
Al  0.481  0.250  0.463
Al  0.519  0.750  0.537
Al  0.019  0.750  0.537
Al  0.000  0.000  0.000
Al  0.500  0.500  0.000
Pu  0.898  0.402  0.796
Pu  0.602  0.902  0.204
Pu  0.102  0.598  0.204
Pu  0.398  0.098  0.796

## Properties
The density of states at the Fermi level comes out at 44.27 states/eV/cell. The calculation puts the formation energy at -8.43 eV/f.u. Its space group is Cmce.

The following is a PBE calculation of a relaxed Pu2Al12Pt7 crystal, from Alexandria via LeMat-Bulk.

abc: 4.170 9.977 9.977
angles: 120.00 90.00 90.00
Fractional coordinates of all 21 atoms:
Pt  0.500  0.652  0.564
Pt  0.000  0.700  0.916
Pt  0.000  0.084  0.784
Pt  0.000  0.333  0.667
Pt  0.500  0.436  0.088
Pt  0.000  0.216  0.300
Pt  0.500  0.912  0.348
Al  0.500  0.203  0.453
Al  0.500  0.383  0.308
Al  0.000  0.041  0.511
Al  0.000  0.805  0.724
Al  0.000  0.489  0.530
Al  0.000  0.276  0.081
Al  0.000  0.919  0.195
Al  0.500  0.250  0.797
Al  0.500  0.547  0.750
Al  0.000  0.470  0.959
Al  0.500  0.925  0.617
Al  0.500  0.692  0.075
Pu  0.500  0.000  0.000
Pu  0.000  0.667  0.333

## Properties
The density of states at the Fermi level comes out at 28.64 states/eV/cell. The calculation puts the formation energy at -19.08 eV/f.u. Its space group is P-6.

The following is a PBE calculation of a relaxed PuAl2Pt2 crystal, from Alexandria via LeMat-Bulk.

abc: 4.162 4.162 10.797
angles: 90.00 90.00 90.00
Fractional coordinates of all 10 atoms:
Pu  0.750  0.250  0.747
Pu  0.250  0.750  0.253
Al  0.250  0.750  0.869
Al  0.750  0.750  0.500
Al  0.750  0.250  0.131
Al  0.250  0.250  0.500
Pt  0.250  0.750  0.637
Pt  0.750  0.750  0.000
Pt  0.750  0.250  0.363
Pt  0.250  0.250  0.000

## Properties
The density of states at the Fermi level comes out at 28.30 states/eV/cell. The calculation puts the formation energy at -4.57 eV/f.u. Its space group is P4/nmm.

The following is a PBE calculation of a relaxed PuAl3Pt3 crystal, from Alexandria via LeMat-Bulk.

abc: 6.800 6.800 6.800
angles: 90.00 90.00 90.00
Fractional coordinates of all 14 atoms:
Pt  0.500  0.750  0.000
Pt  0.500  0.250  0.000
Pt  0.000  0.500  0.250
Pt  0.750  0.000  0.500
Pt  0.250  0.000  0.500
Pt  0.000  0.500  0.750
Al  0.250  0.500  0.000
Al  0.000  0.250  0.500
Al  0.000  0.750  0.500
Al  0.500  0.000  0.750
Al  0.500  0.000  0.250
Al  0.750  0.500  0.000
Pu  0.000  0.000  0.000
Pu  0.500  0.500  0.500

## Properties
The density of states at the Fermi level comes out at 42.27 states/eV/cell. The calculation puts the formation energy at -3.43 eV/f.u. Its space group is Pm-3n.

The following is a PBE calculation of a relaxed PuAl6Pt3 crystal, from Alexandria via LeMat-Bulk.

abc: 4.288 8.484 9.740
angles: 86.07 90.00 90.00
Fractional coordinates of all 20 atoms:
Al  0.250  0.119  0.973
Al  0.250  0.315  0.219
Al  0.250  0.533  0.913
Al  0.750  0.184  0.383
Al  0.750  0.881  0.027
Al  0.750  0.426  0.575
Al  0.250  0.816  0.617
Al  0.750  0.699  0.266
Al  0.750  0.685  0.781
Al  0.750  0.467  0.087
Al  0.250  0.301  0.734
Al  0.250  0.574  0.425
Pu  0.250  0.949  0.295
Pu  0.750  0.051  0.705
Pt  0.250  0.833  0.880
Pt  0.250  0.275  0.484
Pt  0.750  0.383  0.846
Pt  0.250  0.617  0.154
Pt  0.750  0.725  0.516
Pt  0.750  0.167  0.120

## Properties
The density of states at the Fermi level comes out at 29.86 states/eV/cell. The calculation puts the formation energy at -8.01 eV/f.u. Its space group is P2_1/m.

These records have mass density values of 10.8, 15.1, 9.1, 13.6, 10.1, 12.2, 9.6, 9.3 g/cm3, in the order they appear.